1.
Below is a relaxed structure of SmNbN2O, with properties calculated at the PBE-GGA level.

Cell lengths 7.8570, 5.7424, 5.7329 Å; angles 90.00, 90.00, 90.00 degrees
Space group Pmc2_1 (No. 26)
One atom of each set of equivalent atoms:
Sm (0.0000, 0.2302, 0.0000) (multiplicity 2)
Sm (0.5000, 0.2700, 0.0042) (multiplicity 2)
Nb (0.2500, 0.2502, 0.4947) (multiplicity 4)
N (0.1904, 0.0033, 0.2738) (multiplicity 4)
N (0.3093, 0.4996, 0.2769) (multiplicity 4)
O (0.0000, 0.3611, 0.5389) (multiplicity 2)
O (0.5000, 0.1390, 0.5357) (multiplicity 2)

spin magnetization: 0.00 μB/atom
crystal system: orthorhombic

2.
Below is a relaxed structure of SmNbN2O, with properties calculated at the PBE-GGA level.

Cell lengths 5.5245, 5.6057, 5.9800 Å; angles 91.82, 116.29, 119.43 degrees
Space group P1 (No. 1)
One atom of each set of equivalent atoms:
Sm (0.0000, 0.0000, 0.0000) (multiplicity 1)
Sm (0.4643, 0.7325, 0.2076) (multiplicity 1)
Nb (0.0532, 0.5473, 0.5421) (multiplicity 1)
Nb (0.4595, 0.2266, 0.6667) (multiplicity 1)
N (0.2047, 0.3825, 0.3793) (multiplicity 1)
N (0.4883, 0.9240, 0.8308) (multiplicity 1)
N (0.9120, 0.5475, 0.8384) (multiplicity 1)
N (0.9715, 0.7885, 0.3481) (multiplicity 1)
O (0.2991, 0.3398, 0.8608) (multiplicity 1)
O (0.5677, 0.1662, 0.3675) (multiplicity 1)

spin magnetization: 0.00 μB/atom
crystal system: triclinic

3.
Below is a relaxed structure of SmNbN2O, with properties calculated at the PBE-GGA level.

Cell lengths 7.9414, 5.6154, 5.7863 Å; angles 90.00, 90.00, 90.00 degrees
Space group Pmc2_1 (No. 26)
One atom of each set of equivalent atoms:
Sm (0.0000, 0.2468, 0.0000) (multiplicity 2)
Sm (0.5000, 0.2483, 0.8954) (multiplicity 2)
Nb (0.2439, 0.2661, 0.4593) (multiplicity 4)
N (0.0000, 0.1536, 0.4008) (multiplicity 2)
N (0.2038, 0.4469, 0.7418) (multiplicity 4)
N (0.5000, 0.3306, 0.4578) (multiplicity 2)
O (0.2950, 0.0571, 0.1186) (multiplicity 4)

spin magnetization: 0.00 μB/atom
crystal system: orthorhombic

4.
Below is a relaxed structure of SmNbN2O, with properties calculated at the PBE-GGA level.

Cell lengths 5.7400, 5.7400, 14.1746 Å; angles 90.00, 90.00, 120.00 degrees
Space group P6_3/mmc (No. 194)
One atom of each set of equivalent atoms:
Sm (0.0000, 0.0000, 0.2500) (multiplicity 2)
Sm (0.3333, 0.6667, 0.1201) (multiplicity 4)
Nb (0.0000, 0.0000, 0.0000) (multiplicity 2)
Nb (0.3333, 0.6667, 0.6454) (multiplicity 4)
N (0.1589, 0.3178, 0.5912) (multiplicity 12)
O (0.0149, 0.5074, 0.2500) (multiplicity 6)

spin magnetization: 0.00 μB/atom
crystal system: hexagonal

5.
Below is a relaxed structure of SmNbN2O, with properties calculated at the PBE-GGA level.

Cell lengths 5.6583, 5.6782, 9.7874 Å; angles 73.34, 73.41, 60.45 degrees
Space group P1 (No. 1)
One atom of each set of equivalent atoms:
Sm (0.0000, 0.0000, 0.0000) (multiplicity 1)
Sm (0.2059, 0.2893, 0.2559) (multiplicity 1)
Sm (0.4917, 0.5050, 0.4919) (multiplicity 1)
Sm (0.7108, 0.7979, 0.7384) (multiplicity 1)
Nb (0.1129, 0.1454, 0.6325) (multiplicity 1)
Nb (0.3335, 0.4018, 0.8791) (multiplicity 1)
Nb (0.5919, 0.6719, 0.1216) (multiplicity 1)
Nb (0.8406, 0.9183, 0.3611) (multiplicity 1)
N (0.0256, 0.5296, 0.0282) (multiplicity 1)
N (0.1260, 0.3674, 0.7444) (multiplicity 1)
N (0.2145, 0.7161, 0.2217) (multiplicity 1)
N (0.2520, 0.7978, 0.7728) (multiplicity 1)
N (0.4710, 0.9780, 0.9565) (multiplicity 1)
N (0.4899, 0.0536, 0.5139) (multiplicity 1)
N (0.6340, 0.8664, 0.2406) (multiplicity 1)
N (0.7714, 0.2839, 0.2661) (multiplicity 1)
O (0.0692, 0.8900, 0.5031) (multiplicity 1)
O (0.6082, 0.4069, 0.9782) (multiplicity 1)
O (0.6934, 0.2382, 0.7003) (multiplicity 1)
O (0.9312, 0.4775, 0.4651) (multiplicity 1)

spin magnetization: 0.00 μB/atom
crystal system: triclinic

6.
Below is a relaxed structure of SmNbN2O, with properties calculated at the PBE-GGA level.

Cell lengths 3.7252, 6.2220, 5.8165 Å; angles 90.00, 90.00, 90.00 degrees
Space group Pmc2_1 (No. 26)
One atom of each set of equivalent atoms:
Sm (0.0000, 0.1581, 0.0000) (multiplicity 2)
Nb (0.5000, 0.3211, 0.5378) (multiplicity 2)
N (0.0000, 0.2165, 0.5944) (multiplicity 2)
N (0.5000, 0.4059, 0.8900) (multiplicity 2)
O (0.5000, 0.0902, 0.2786) (multiplicity 2)

spin magnetization: 0.00 μB/atom
crystal system: orthorhombic

7.
Below is a relaxed structure of NbSnNO, with properties calculated at the PBE-GGA level.

Cell lengths 3.9941, 3.9941, 7.9282 Å; angles 90.00, 90.00, 90.00 degrees
Space group P4/nmm (No. 129, origin choice 2)
One atom of each set of equivalent atoms:
Nb (0.2500, 0.7500, 0.0000) (multiplicity 2)
Sn (0.2500, 0.2500, 0.3600) (multiplicity 2)
N (0.2500, 0.2500, 0.9170) (multiplicity 2)
O (0.2500, 0.7500, 0.5000) (multiplicity 2)

spin magnetization: 0.00 μB/atom
crystal system: tetragonal

8.
Below is a relaxed structure of NbSnNO, with properties calculated at the PBE-GGA level.

Cell lengths 3.1519, 5.5133, 7.0578 Å; angles 90.00, 90.00, 90.00 degrees
Space group Pmc2_1 (No. 26)
One atom of each set of equivalent atoms:
Nb (0.0000, 0.0790, 0.0000) (multiplicity 2)
Sn (0.5000, 0.3534, 0.3961) (multiplicity 2)
N (0.5000, 0.3216, 0.0749) (multiplicity 2)
O (0.0000, 0.1296, 0.7299) (multiplicity 2)

spin magnetization: 0.00 μB/atom
crystal system: orthorhombic

9.
Below is a relaxed structure of NbSnNO, with properties calculated at the PBE-GGA level.

Cell lengths 5.9399, 6.6223, 5.7415 Å; angles 90.00, 90.00, 90.00 degrees
Space group Pca2_1 (No. 29)
One atom of each set of equivalent atoms:
Nb (0.0686, 0.0655, 0.0000) (multiplicity 4)
Sn (0.1121, 0.6511, 0.8510) (multiplicity 4)
N (0.0613, 0.5979, 0.4866) (multiplicity 4)
O (0.1265, 0.1562, 0.6580) (multiplicity 4)

spin magnetization: 0.00 μB/atom
crystal system: orthorhombic

10.
Below is a relaxed structure of NbSnNO, with properties calculated at the PBE-GGA level.

Cell lengths 4.1850, 4.1850, 8.4602 Å; angles 90.00, 90.00, 90.00 degrees
Space group P4/nmm (No. 129, origin choice 2)
One atom of each set of equivalent atoms:
Nb (0.2500, 0.2500, 0.0585) (multiplicity 2)
Sn (0.2500, 0.7500, 0.5000) (multiplicity 2)
N (0.2500, 0.2500, 0.2676) (multiplicity 2)
O (0.2500, 0.7500, 0.0000) (multiplicity 2)

spin magnetization: 0.00 μB/atom
crystal system: tetragonal

11.
Below is a relaxed structure of NbSnNO, with properties calculated at the PBE-GGA level.

Cell lengths 3.3760, 6.8479, 6.4787 Å; angles 90.00, 90.00, 90.00 degrees
Space group Pmc2_1 (No. 26)
One atom of each set of equivalent atoms:
Nb (0.0000, 0.0997, 0.0000) (multiplicity 2)
Sn (0.5000, 0.2956, 0.4960) (multiplicity 2)
N (0.0000, 0.1303, 0.3130) (multiplicity 2)
O (0.5000, 0.2341, 0.9558) (multiplicity 2)

spin magnetization: 0.00 μB/atom
crystal system: orthorhombic

12.
Below is a relaxed structure of NbSnNO, with properties calculated at the PBE-GGA level.

Cell lengths 6.3134, 8.6688, 5.7164 Å; angles 90.00, 90.00, 90.00 degrees
Space group Pca2_1 (No. 29)
One atom of each set of equivalent atoms:
Nb (0.1086, 0.0787, 0.0000) (multiplicity 4)
Sn (0.1249, 0.5209, 0.0467) (multiplicity 4)
N (0.1054, 0.0591, 0.6507) (multiplicity 4)
O (0.0298, 0.2786, 0.0621) (multiplicity 4)

spin magnetization: 0.00 μB/atom
crystal system: orthorhombic

13.
Below is a relaxed structure of SrNbN2O, with properties calculated at the PBE-GGA level.

Cell lengths 5.8199, 5.8199, 7.1019 Å; angles 90.00, 90.00, 120.00 degrees
Space group P3_221 (No. 154)
One atom of each set of equivalent atoms:
Sr (0.0000, 0.6835, 0.3333) (multiplicity 3)
Nb (0.0000, 0.6543, 0.8333) (multiplicity 3)
N (0.1587, 0.5024, 0.6629) (multiplicity 6)
O (0.0000, 0.1483, 0.3333) (multiplicity 3)

spin magnetization: 0.01 μB/atom
crystal system: trigonal

14.
Below is a relaxed structure of SrNbN2O, with properties calculated at the PBE-GGA level.

Cell lengths 11.6059, 4.0887, 5.8351 Å; angles 90.00, 90.00, 90.00 degrees
Space group Pmma (No. 51)
One atom of each set of equivalent atoms:
Sr (0.0000, 0.0000, 0.0000) (multiplicity 2)
Sr (0.2500, 0.0000, 0.4758) (multiplicity 2)
Nb (0.0000, 0.5000, 0.5000) (multiplicity 2)
Nb (0.2500, 0.5000, 0.9800) (multiplicity 2)
N (0.0000, 0.0000, 0.5000) (multiplicity 2)
N (0.1205, 0.5000, 0.7620) (multiplicity 4)
N (0.2500, 0.0000, 0.0091) (multiplicity 2)
O (0.1299, 0.5000, 0.2656) (multiplicity 4)

spin magnetization: 0.11 μB/atom
crystal system: orthorhombic

15.
Below is a relaxed structure of SrNbN2O, with properties calculated at the PBE-GGA level.

Cell lengths 6.0983, 3.8386, 8.3553 Å; angles 90.00, 111.23, 90.00 degrees
Space group P2_1/m (No. 11)
One atom of each set of equivalent atoms:
Sr (0.1938, 0.2500, 0.3821) (multiplicity 2)
Nb (0.3999, 0.2500, 0.8208) (multiplicity 2)
N (0.0904, 0.2500, 0.6620) (multiplicity 2)
N (0.3647, 0.7500, 0.8969) (multiplicity 2)
O (0.4307, 0.7500, 0.3309) (multiplicity 2)

spin magnetization: 0.19 μB/atom
crystal system: monoclinic

16.
Below is a relaxed structure of SrNbN2O, with properties calculated at the PBE-GGA level.

Cell lengths 5.8199, 5.8199, 7.1019 Å; angles 90.00, 90.00, 120.00 degrees
Space group P3_221 (No. 154)
One atom of each set of equivalent atoms:
Sr (0.0000, 0.6835, 0.3333) (multiplicity 3)
Nb (0.0000, 0.6543, 0.8333) (multiplicity 3)
N (0.1587, 0.5024, 0.6629) (multiplicity 6)
O (0.0000, 0.1483, 0.3333) (multiplicity 3)

spin magnetization: 0.01 μB/atom
crystal system: trigonal

17.
Below is a relaxed structure of SrNbN2O, with properties calculated at the PBE-GGA level.

Cell lengths 11.6059, 4.0886, 5.8351 Å; angles 90.00, 90.00, 90.00 degrees
Space group Pmma (No. 51)
One atom of each set of equivalent atoms:
Sr (0.0000, 0.0000, 0.0000) (multiplicity 2)
Sr (0.2500, 0.0000, 0.4758) (multiplicity 2)
Nb (0.0000, 0.5000, 0.5000) (multiplicity 2)
Nb (0.2500, 0.5000, 0.9800) (multiplicity 2)
N (0.0000, 0.0000, 0.5000) (multiplicity 2)
N (0.1205, 0.5000, 0.7620) (multiplicity 4)
N (0.2500, 0.0000, 0.0091) (multiplicity 2)
O (0.1299, 0.5000, 0.2656) (multiplicity 4)

spin magnetization: 0.11 μB/atom
crystal system: orthorhombic

18.
Below is a relaxed structure of Sr2Nb2NO5, with properties calculated at the PBE-GGA level.

Cell lengths 4.0468, 4.0468, 8.1568 Å; angles 90.00, 90.00, 90.00 degrees
Space group P4/mmm (No. 123)
One atom of each set of equivalent atoms:
Sr (0.0000, 0.0000, 0.0000) (multiplicity 1)
Sr (0.0000, 0.0000, 0.5000) (multiplicity 1)
Nb (0.5000, 0.5000, 0.2443) (multiplicity 2)
N (0.5000, 0.5000, 0.0000) (multiplicity 1)
O (0.0000, 0.5000, 0.2560) (multiplicity 4)
O (0.5000, 0.5000, 0.5000) (multiplicity 1)

spin magnetization: 0.00 μB/atom
crystal system: tetragonal

Values of E, in order: -9.00; -8.96; -9.04; -8.83; -9.04; -9.05; -7.56; -7.71; -7.46; -7.54; -7.62; -7.80; -7.98; -7.96; -7.93; -7.98; -7.96; -8.16, all in eV/atom.